No. 1
A relaxed Li3Tl3Ag2 crystal, computed with PBE.

Structure (POSCAR):
```
Li3Tl3Ag2
1.0
-3.385 4.061 1.543
-0.819 -2.256 4.957
4.451 2.743 1.730
Li Tl Ag
3 3 2
Direct
0.246 0.754 0.500
0.500 0.246 0.246
0.754 0.500 0.754
0.259 0.741 0.000
0.000 0.259 0.259
0.741 0.000 0.741
0.257 0.257 0.743
0.743 0.743 0.257
```

Results
Formation energy ... -0.127 eV/atom
Density of states at the Fermi level ... 0.133 states/eV/atom
Crystal system ... trigonal
Raw total energy ... -19.562 eV per cell

***

No. 2
A relaxed LiTlAg2 crystal, computed with PBE.

Structure (POSCAR):
```
LiTlAg2
1.0
5.146 -1.846 -3.117
-1.621 5.222 3.117
-3.600 0.231 5.157
Li Tl Ag
1 1 2
Direct
0.000 0.000 0.000
0.000 0.500 0.500
0.000 0.236 0.236
0.000 0.764 0.764
```

Results
Formation energy ... 0.074 eV/atom
Density of states at the Fermi level ... 0.320 states/eV/atom
Crystal system ... orthorhombic
Raw total energy ... -9.686 eV per cell

***

No. 3
A relaxed Li6TlAg2 crystal, computed with PBE.

Structure (POSCAR):
```
Li6TlAg2
1.0
2.830 0.000 0.756
0.447 7.021 4.004
-0.635 0.451 8.057
Li Tl Ag
6 1 2
Direct
0.170 0.507 0.153
0.830 0.493 0.847
0.830 0.847 0.493
0.000 0.166 0.834
0.000 0.834 0.166
0.170 0.153 0.507
0.500 0.500 0.500
0.347 0.153 0.153
0.653 0.847 0.847
```

Results
Formation energy ... -0.157 eV/atom
Density of states at the Fermi level ... 0.281 states/eV/atom
Crystal system ... orthorhombic
Polymorph energy (0 for the lowest one) ... 9 meV per atom
Raw total energy ... -20.966 eV per cell